Density functional theory data (PBE-GGA) for PrGaCo2 after structural relaxation.

The electronic total energy is -5.66 eV/atom. As for the energy relative to the elements: -0.16 eV/atom.

The space group is Pmma (No. 51) and the conventional cell measures 5.292, 3.727 and 6.929 Å, with angles of 90.00, 90.00 and 90.00 degrees. The asymmetric unit holds Pr at (0.250, 0.000, 0.173), Ga at (0.250, 0.000, 0.617), Co at (0.000, 0.500, 0.500) and Co at (0.250, 0.500, 0.835).